(1)
AgWAu2, single point on PBEsol structure, DFT meta-GGA SCAN; calculated density = 17.2 Mg/m³; ΔE_f = 313 meV/atom; energy above the lowest structure with this stoichiometry = 0 meV/atom
1.0
3.159 -3.841 0.000
3.159 3.841 0.000
0.000 0.000 2.721
Ag W Au
1 1 2
direct
0.000 0.000 0.000
0.500 0.500 0.000
0.000 0.500 0.500
0.500 0.000 0.500

(2)
FeNiAg2, single point on PBEsol structure, DFT meta-GGA SCAN; calculated density = 9.8 Mg/m³; ΔE_f = 359 meV/atom; energy above the lowest structure with this stoichiometry = 11 meV/atom
1.0
2.622 -4.488 0.000
2.622 4.488 0.000
-1.142 0.000 2.387
Fe Ni Ag
1 1 2
direct
0.000 0.000 0.000
0.500 0.500 0.000
0.000 0.500 0.500
0.500 0.000 0.500

(3)
BaY2ZrMo, single point on PBEsol structure, DFT meta-GGA SCAN; calculated density = 5.4 Mg/m³; ΔE_f = 1846 meV/atom
1.0
5.424 0.000 0.000
0.000 5.424 0.000
0.000 0.000 5.226
Ba Y Zr Mo
1 2 1 1
direct
0.000 0.000 0.000
0.000 0.500 0.000
0.500 0.000 0.000
0.000 0.000 0.500
0.500 0.500 0.500

(4)
Be2Au, single point on PBEsol structure, DFT meta-GGA SCAN; calculated density = 10.5 Mg/m³; ΔE_f = -268 meV/atom
1.0
4.014 0.000 0.000
-2.007 3.476 0.000
0.000 0.000 4.867
Be Au
4 2
direct
0.000 0.000 0.000
0.000 0.000 0.500
0.333 0.667 0.250
0.667 0.333 0.750
0.333 0.667 0.750
0.667 0.333 0.250

(5)
YNiMo, single point on PBEsol structure, DFT meta-GGA SCAN; calculated density = 7.6 Mg/m³; ΔE_f = 593 meV/atom; energy above the lowest structure with this stoichiometry = 395 meV/atom
1.0
3.102 0.000 0.000
-1.551 2.686 0.000
0.000 0.000 6.354
Y Ni Mo
1 1 1
direct
0.000 0.000 0.000
0.667 0.333 0.354
0.333 0.667 0.621

(6)
Ir2RuW, single point on PBEsol structure, DFT meta-GGA SCAN; calculated density = 19.6 Mg/m³; ΔE_f = -339 meV/atom; energy above the lowest structure with this stoichiometry = 0 meV/atom
1.0
3.825 0.000 0.000
0.000 3.825 0.000
0.000 0.000 3.870
Ir Ru W
2 1 1
direct
0.000 0.500 0.000
0.500 0.000 0.000
0.000 0.000 0.500
0.500 0.500 0.500

(7)
LiSnAs2W, single point on PBEsol structure, DFT meta-GGA SCAN; calculated density = 6.4 Mg/m³; ΔE_f = 1579 meV/atom
1.0
5.138 0.000 0.000
0.000 5.138 0.000
0.000 0.000 4.494
Li Sn As W
1 1 2 1
direct
0.000 0.000 0.000
0.000 0.000 0.500
0.000 0.500 0.500
0.500 0.000 0.500
0.500 0.500 0.000

(8)
LaTc2Ru, single point on PBEsol structure, DFT meta-GGA SCAN; calculated density = 9.9 Mg/m³; ΔE_f = 351 meV/atom
1.0
4.617 -1.540 0.000
4.617 1.540 0.000
-1.660 0.000 5.168
La Tc Ru
1 2 1
direct
0.000 0.000 0.000
0.219 0.219 0.666
0.503 0.503 0.500
0.776 0.776 0.327

(9)
SbAu, single point on PBEsol structure, DFT meta-GGA SCAN; calculated density = 12.1 Mg/m³; formation energy (no corrections) = -81 meV per atom
1.0
4.210 0.000 0.000
0.000 3.841 0.000
-1.635 0.000 5.388
Sb Au
2 2
direct
0.190 0.250 0.285
0.810 0.750 0.715
0.333 0.250 0.805
0.667 0.750 0.195

(10)
Sb3TeClO6, single point on PBEsol structure, DFT meta-GGA SCAN; calculated density = 4.2 Mg/m³; formation energy (no corrections) = -1266 meV per atom
1.0
7.625 -2.048 0.000
7.625 2.048 0.000
-5.335 0.000 7.928
Sb Te Cl O
3 1 1 6
direct
0.000 0.000 0.000
0.001 0.001 0.636
0.688 0.688 0.295
0.686 0.686 0.659
0.341 0.341 0.648
0.071 0.071 0.879
0.138 0.138 0.231
0.146 0.146 0.659
0.549 0.549 0.070
0.556 0.556 0.649
0.617 0.617 0.423

(11)
SiSbOs2, single point on PBEsol structure, DFT meta-GGA SCAN; calculated density = 14.7 Mg/m³; formation energy (no corrections) = 339 meV per atom; energy above the lowest structure with this stoichiometry = 0 meV/atom
1.0
0.000 3.105 3.105
3.105 0.000 3.105
3.105 3.105 0.000
Si Sb Os
1 1 2
direct
0.000 0.000 0.000
0.500 0.500 0.500
0.250 0.250 0.250
0.750 0.750 0.750

(12)
ScGa2Ir2, single point on PBEsol structure, DFT meta-GGA SCAN; calculated density = 12.4 Mg/m³; ΔE_f = -740 meV/atom
1.0
7.319 0.000 0.000
0.000 7.319 0.000
0.000 0.000 2.840
Sc Ga Ir
2 4 4
direct
0.000 0.000 0.000
0.500 0.500 0.000
0.125 0.375 0.000
0.375 0.875 0.000
0.625 0.125 0.000
0.875 0.625 0.000
0.173 0.673 0.500
0.327 0.173 0.500
0.673 0.827 0.500
0.827 0.327 0.500

(13)
ZnTe, single point on PBEsol structure, DFT meta-GGA SCAN; calculated density = 5.7 Mg/m³; formation energy (no corrections) = -487 meV per atom
1.0
0.000 3.033 3.033
3.033 0.000 3.033
3.033 3.033 0.000
Zn Te
1 1
direct
0.000 0.000 0.000
0.750 0.750 0.750

(14)
ZrMnPt2, single point on PBEsol structure, DFT meta-GGA SCAN; calculated density = 14.0 Mg/m³; ΔE_f = -298 meV/atom
1.0
1.427 0.824 9.019
-1.427 0.824 9.019
0.000 -1.648 9.019
Zr Mn Pt
1 1 2
direct
0.000 0.000 0.000
0.753 0.753 0.753
0.248 0.248 0.248
0.495 0.495 0.495

(15)
SbTe2RuAu, single point on PBEsol structure, DFT meta-GGA SCAN; calculated density = 7.7 Mg/m³; formation energy (no corrections) = 1211 meV per atom; energy above the lowest structure with this stoichiometry = 584 meV/atom
1.0
5.307 0.000 0.000
0.000 5.307 0.000
0.000 0.000 5.176
Sb Te Ru Au
1 2 1 1
direct
0.000 0.000 0.000
0.000 0.500 0.500
0.500 0.000 0.500
0.500 0.500 0.000
0.000 0.000 0.500

(16)
In2CoRh, single point on PBEsol structure, DFT meta-GGA SCAN; calculated density = 10.6 Mg/m³; ΔE_f = -152 meV/atom
1.0
0.000 3.135 3.135
3.135 0.000 3.135
3.135 3.135 0.000
In Co Rh
2 1 1
direct
0.250 0.250 0.250
0.750 0.750 0.750
0.000 0.000 0.000
0.500 0.500 0.500

(17)
RbSb2IO, single point on PBEsol structure, DFT meta-GGA SCAN; calculated density = 5.1 Mg/m³; formation energy (no corrections) = -343 meV per atom
1.0
4.598 0.000 0.000
0.000 4.598 0.000
0.000 0.000 7.319
Rb Sb I O
1 2 1 1
direct
0.000 0.000 0.000
0.000 0.500 0.500
0.500 0.000 0.500
0.500 0.500 0.000
0.500 0.500 0.500

(18)
RbNa2Al3Si3O13, single point on PBEsol structure, DFT meta-GGA SCAN; calculated density = 2.6 Mg/m³; formation energy (no corrections) = -2786 meV per atom
1.0
5.247 0.000 0.000
0.000 8.121 0.000
-5.162 0.000 15.220
Rb Na Al Si O
2 4 6 6 26
direct
0.000 0.015 0.000
0.000 0.985 0.500
0.133 0.321 0.267
0.133 0.679 0.767
0.629 0.340 0.766
0.629 0.660 0.266
0.222 0.405 0.909
0.222 0.595 0.409
0.602 0.089 0.257
0.602 0.911 0.757
0.935 0.389 0.618
0.935 0.611 0.118
0.095 0.112 0.769
0.095 0.888 0.269
0.435 0.397 0.122
0.435 0.603 0.622
0.720 0.375 0.404
0.720 0.625 0.904
0.091 0.222 0.854
0.091 0.778 0.354
0.269 0.461 0.655
0.269 0.539 0.155
0.306 0.353 0.019
0.306 0.647 0.519
0.405 0.233 0.178
0.405 0.767 0.678
0.412 0.087 0.774
0.412 0.913 0.274
0.482 0.484 0.875
0.482 0.516 0.375
0.489 0.033 0.647
0.489 0.967 0.147
0.609 0.204 0.353
0.609 0.796 0.853
0.749 0.456 0.150
0.749 0.544 0.650
0.821 0.337 0.508
0.821 0.663 0.008
0.928 0.212 0.680
0.928 0.788 0.180
0.952 0.064 0.274
0.952 0.936 0.774
0.964 0.449 0.371
0.964 0.551 0.871

(19)
LiCrIr3, single point on PBEsol structure, DFT meta-GGA SCAN; calculated density = 16.1 Mg/m³; ΔE_f = 648 meV/atom
1.0
4.030 0.000 0.000
0.000 4.030 0.000
0.000 0.000 4.030
Li Cr Ir
1 1 3
direct
0.000 0.000 0.000
0.500 0.500 0.500
0.000 0.000 0.500
0.000 0.500 0.000
0.500 0.000 0.000

(20)
KLi3Zr, single point on PBEsol structure, DFT meta-GGA SCAN; calculated density = 2.1 Mg/m³; ΔE_f = 977 meV/atom
1.0
4.948 0.000 0.000
0.000 4.948 0.000
0.000 0.000 4.948
K Li Zr
1 3 1
direct
0.000 0.000 0.000
0.000 0.000 0.500
0.000 0.500 0.000
0.500 0.000 0.000
0.500 0.500 0.500

(21)
Ca6Br2N3Cl, single point on PBEsol structure, DFT meta-GGA SCAN; calculated density = 3.4 Mg/m³; formation energy (no corrections) = -1691 meV per atom
1.0
3.649 0.000 0.000
-1.824 3.160 0.000
0.000 0.000 20.197
Ca Br N Cl
6 2 3 1
direct
0.000 0.000 0.221
0.000 0.000 0.779
0.333 0.667 0.440
0.333 0.667 0.899
0.667 0.333 0.101
0.667 0.333 0.560
0.333 0.667 0.669
0.667 0.333 0.331
0.000 0.000 0.500
0.333 0.667 0.161
0.667 0.333 0.839
0.000 0.000 0.000

(22)
Li2YAg, single point on PBEsol structure, DFT meta-GGA SCAN; calculated density = 4.2 Mg/m³; ΔE_f = -126 meV/atom; energy above the lowest structure with this stoichiometry = 0 meV/atom
1.0
3.460 0.000 0.000
0.000 3.460 0.000
0.000 0.000 6.953
Li Y Ag
2 1 1
direct
0.000 0.000 0.000
0.500 0.500 0.206
0.000 0.000 0.547
0.500 0.500 0.802

(23)
FeCu2Ag, single point on PBEsol structure, DFT meta-GGA SCAN; calculated density = 9.5 Mg/m³; ΔE_f = 143 meV/atom; energy above the lowest structure with this stoichiometry = 0 meV/atom
1.0
2.624 0.000 0.000
0.000 2.624 0.000
0.000 0.000 7.362
Fe Cu Ag
1 2 1
direct
0.000 0.000 0.000
0.500 0.500 0.231
0.500 0.500 0.769
0.000 0.000 0.500

(24)
HPtAuN2, single point on PBEsol structure, DFT meta-GGA SCAN; calculated density = 14.0 Mg/m³
1.0
3.934 0.000 0.000
0.000 3.934 0.000
0.000 0.000 3.239
H Pt Au N
1 1 1 2
direct
0.000 0.000 0.000
0.000 0.000 0.500
0.500 0.500 0.500
0.000 0.500 0.000
0.500 0.000 0.000

(25)
ZrAl2Pb, single point on PBEsol structure, DFT meta-GGA SCAN; calculated density = 6.8 Mg/m³; ΔE_f = -30 meV/atom
1.0
3.097 0.000 0.000
0.000 3.097 0.000
0.000 0.000 8.907
Zr Al Pb
1 2 1
direct
0.000 0.000 0.000
0.500 0.500 0.222
0.500 0.500 0.778
0.000 0.000 0.500

(26)
La2AgBr, single point on PBEsol structure, DFT meta-GGA SCAN; calculated density = 6.7 Mg/m³; formation energy (no corrections) = -858 meV per atom; energy above the lowest structure with this stoichiometry = 48 meV/atom
1.0
2.211 1.277 6.815
-2.211 1.277 6.815
0.000 -2.553 6.815
La Ag Br
2 1 1
direct
0.248 0.248 0.248
0.752 0.752 0.752
0.000 0.000 0.000
0.500 0.500 0.500

(27)
Gd2MgAl, single point on PBEsol structure, DFT meta-GGA SCAN; calculated density = 6.2 Mg/m³; ΔE_f = -273 meV/atom
1.0
0.000 3.665 3.665
3.665 0.000 3.665
3.665 3.665 0.000
Gd Mg Al
2 1 1
direct
0.250 0.250 0.250
0.750 0.750 0.750
0.000 0.000 0.000
0.500 0.500 0.500

no.,M_tot (μB per formula unit),calculated total energy (eV per atom)
1,0.00,-59.5296
2,3.61,-23.9001
3,3.52,-30.3181
4,0.00,-26.2231
5,0.00,-25.7072
6,0.00,-62.0175
7,3.59,-28.0972
8,0.00,-36.6613
9,0.00,-53.2901
10,0.00,-18.9386
11,0.00,-47.4196
12,0.25,-38.5652
13,0.00,-25.8705
14,3.70,-47.6327
15,2.98,-41.9386
16,1.28,-29.6144
17,0.00,-27.9898
18,2.01,-10.2171
19,2.10,-46.1668
20,3.45,-8.2624
21,0.22,-12.7541
22,0.10,-16.1231
23,2.86,-19.8307
24,0.00,-30.3645
25,0.00,-30.5255
26,0.00,-35.1170
27,15.29,-32.8621